MgZrCo10: relaxed, PBE.

Values from the calculation:
**VASP energy**: -81.07 eV/f.u.
**Symmetry**: No. 47
**Calculated density**: 7.50 g/cm3
**ΔH_f (0 K)**: 11 meV per atom
**Magnetization**: 1.21 μB/atom

```
MgZrCo10
1.0
3.990 0.000 0.000
0.000 4.760 0.000
0.000 0.000 8.215
Co Zr Mg
10 1 1
Direct
0.500 0.500 0.000
0.000 0.500 0.839
0.500 0.253 0.253
0.500 0.000 0.500
0.500 0.747 0.747
0.500 0.747 0.253
0.000 0.500 0.161
0.000 0.000 0.670
0.000 0.000 0.330
0.500 0.253 0.747
0.000 0.500 0.500
0.000 0.000 0.000
```


CaH3Pt: relaxed, PBE.

Values from the calculation:
**VASP energy**: -20.81 eV/f.u.
**Symmetry**: No. 1
**Calculated density**: 6.64 g/cm3
**Magnetization**: 0.00 μB/atom

```
CaH3Pt
1.0
-4.211 0.325 2.174
-0.851 -3.780 -1.530
3.720 -2.334 4.385
H Ca Pt
6 2 2
Direct
0.479 0.006 0.767
0.969 0.265 0.637
0.089 0.517 0.318
0.702 0.824 0.277
0.950 0.042 0.029
0.545 0.560 0.562
0.309 0.039 0.385
0.701 0.526 0.943
0.828 0.543 0.453
0.197 0.031 0.880
```


GdTmLuZn: relaxed, PBE.

Values from the calculation:
**VASP energy**: -24.27 eV/f.u.
**Symmetry**: No. 216
**Calculated density**: 9.04 g/cm3
**ΔH_f (0 K)**: 19 meV per atom
**Magnetization**: 1.89 μB/atom

```
GdTmLuZn
1.0
-0.044 -1.654 -5.014
3.692 -3.369 -1.701
-1.298 -4.994 -1.122
Tm Zn Lu Gd
1 1 1 1
Direct
0.250 0.250 0.250
0.000 0.000 0.000
0.500 0.500 0.500
0.750 0.750 0.750
```


ZrBeSb2: relaxed, PBE.

Values from the calculation:
**VASP energy**: -19.91 eV/f.u.
**Symmetry**: No. 65
**Calculated density**: 6.72 g/cm3
**Magnetization**: 0.00 μB/atom
**Formation energy (no corrections)**: 0.15 eV per atom

```
ZrBeSb2
1.0
3.327 -0.002 0.000
-1.036 3.162 0.000
0.000 0.000 8.077
Sb Be Zr
2 1 1
Direct
0.000 0.000 0.524
0.000 0.000 0.976
0.500 0.500 0.750
0.500 0.500 0.250
```


Zr6Pb3O: relaxed, PBE.

Values from the calculation:
**VASP energy**: -73.32 eV/f.u.
**Symmetry**: No. 36
**Calculated density**: 8.95 g/cm3
**Magnetization**: 0.00 μB/atom
**Formation energy (no corrections)**: -0.59 eV per atom

```
Zr6Pb3O
1.0
-3.698 1.788 2.963
0.634 -7.788 5.492
5.987 6.562 3.511
Pb Zr O
6 12 2
Direct
0.148 0.729 0.924
0.148 0.076 0.271
0.659 0.596 0.404
0.648 0.271 0.076
0.159 0.404 0.596
0.648 0.924 0.729
0.652 0.590 0.739
0.181 0.067 0.933
0.681 0.933 0.067
0.152 0.410 0.261
0.680 0.927 0.406
0.169 0.732 0.268
0.180 0.406 0.927
0.180 0.073 0.594
0.652 0.261 0.410
0.680 0.594 0.073
0.152 0.739 0.590
0.669 0.268 0.732
0.517 0.808 0.192
0.017 0.192 0.808
```


TePRu3: relaxed, PBE.

Values from the calculation:
**VASP energy**: -34.34 eV/f.u.
**Excess energy over the best structure of this formula in the dataset**: 0 meV/atom
**Symmetry**: No. 221
**Calculated density**: 8.82 g/cm3
**Magnetization**: 0.00 μB/atom
**Formation energy (no corrections)**: 0.41 eV per atom

```
TePRu3
1.0
-3.740 2.226 -0.824
-2.336 -3.181 2.010
0.418 2.131 3.860
P Ru Te
1 3 1
Direct
0.000 0.000 0.000
0.000 0.000 0.500
0.000 0.500 0.000
0.500 0.000 0.000
0.500 0.500 0.500
```


HgSbOs2: relaxed, PBE.

Values from the calculation:
**VASP energy**: -22.72 eV/f.u.
**Excess energy over the best structure of this formula in the dataset**: 539 meV/atom
**Symmetry**: No. 119
**Calculated density**: 16.58 g/cm3
**Magnetization**: 0.00 μB/atom
**Formation energy (no corrections)**: 1.04 eV per atom

```
HgSbOs2
1.0
5.139 -0.002 0.000
1.926 4.764 0.000
-3.533 -2.381 2.874
Os Hg Sb
2 1 1
Direct
0.000 0.000 0.000
0.250 0.750 0.500
0.750 0.250 0.500
0.500 0.500 0.000
```


PmUS2: relaxed, PBE.

Values from the calculation:
**VASP energy**: -31.00 eV/f.u.
**Excess energy over the best structure of this formula in the dataset**: 0 meV/atom
**Symmetry**: No. 166
**Calculated density**: 8.50 g/cm3
**Magnetization**: 0.65 μB/atom
**Formation energy (no corrections)**: -1.68 eV per atom

```
PmUS2
1.0
-2.485 0.528 2.984
-3.579 -1.594 -0.124
0.295 -5.780 3.841
S Pm U
2 1 1
Direct
0.753 0.753 0.740
0.247 0.247 0.260
0.000 0.000 0.000
0.500 0.500 0.500
```


Lu2AlRu: relaxed, PBE.

Values from the calculation:
**VASP energy**: -24.13 eV/f.u.
**Excess energy over the best structure of this formula in the dataset**: 0 meV/atom
**Symmetry**: No. 123
**Calculated density**: 9.76 g/cm3
**ΔH_f (0 K)**: -518 meV per atom
**Magnetization**: 0.00 μB/atom

```
Lu2AlRu
1.0
-1.151 3.120 -0.774
-3.204 -1.047 0.543
0.529 1.858 6.705
Lu Ru Al
2 1 1
Direct
0.000 0.000 0.229
0.000 0.000 0.771
0.500 0.500 0.000
0.500 0.500 0.500
```


Tb2TmTl2Ag2: relaxed, PBE.

Values from the calculation:
**VASP energy**: -25.25 eV/f.u.
**Symmetry**: No. 166
**Calculated density**: 10.05 g/cm3
**ΔH_f (0 K)**: -154 meV per atom
**Magnetization**: 0.00 μB/atom

```
Tb2TmTl2Ag2
1.0
-0.556 -4.802 -0.500
0.591 -2.927 3.835
-8.707 -1.771 3.071
Tl Ag Tb Tm
2 2 2 1
Direct
0.741 0.741 0.777
0.259 0.259 0.223
0.390 0.390 0.829
0.610 0.610 0.171
0.875 0.875 0.374
0.125 0.125 0.626
0.000 0.000 0.000
```


NdCr2C2: relaxed, PBE.

Values from the calculation:
**VASP energy**: -43.09 eV/f.u.
**Excess energy over the best structure of this formula in the dataset**: 0 meV/atom
**Symmetry**: No. 70
**Calculated density**: 7.15 g/cm3
**ΔH_f (0 K)**: -125 meV per atom
**Magnetization**: 0.17 μB/atom

```
NdCr2C2
1.0
5.146 0.132 -1.727
-2.338 4.586 -1.727
-0.184 -0.309 5.518
Cr C Nd
4 4 2
Direct
0.510 0.260 0.019
0.760 0.010 0.519
0.240 0.990 0.481
0.490 0.740 0.981
0.570 0.930 0.750
0.820 0.680 0.250
0.180 0.320 0.750
0.430 0.070 0.250
0.125 0.375 0.250
0.875 0.625 0.750
```


Y2BiAs2: relaxed, PBE.

Values from the calculation:
**VASP energy**: -30.66 eV/f.u.
**Excess energy over the best structure of this formula in the dataset**: 0 meV/atom
**Symmetry**: No. 127
**Calculated density**: 7.12 g/cm3
**ΔH_f (0 K)**: -911 meV per atom
**Magnetization**: 0.00 μB/atom

```
Y2BiAs2
1.0
-2.196 -1.139 -7.687
1.158 -7.947 0.847
-3.651 -0.414 1.104
Y As Bi
4 4 2
Direct
0.157 0.657 0.500
0.843 0.343 0.500
0.657 0.843 0.500
0.343 0.157 0.500
0.146 0.354 0.000
0.854 0.646 0.000
0.354 0.854 0.000
0.646 0.146 0.000
0.000 0.000 0.000
0.500 0.500 0.000
```